La2AsOs, optimized geometry, DFT PBE; calculated total energy = -53.5 eV per cell
1.0
7.8900 0.0000 0.0000
0.0000 7.8900 0.0000
3.9450 3.9450 3.3539
As Os La
2 2 4
direct
0.5000 0.5000 0.0000
0.2500 0.7500 0.5000
0.0000 0.0000 0.0000
0.7500 0.2500 0.5000
0.6600 0.1250 0.2500
0.0900 0.6250 0.2500
0.3750 0.3400 0.7500
0.8750 0.9100 0.7500